No. 1
{"formula": "TiTcBTeRh", "functional": "PBE", "state": "relaxed", "lattice_angstrom": [[-1.205, 3.544, 0.031], [-0.322, -0.160, 4.476], [5.361, -0.149, -0.646]], "species": ["Tc", "B", "Rh", "Te", "Ti"], "fractional_positions": [[0.471, 0.947, 0.234], [0.962, 0.163, 0.215], [0.757, 0.967, 0.806], [0.095, 0.655, 0.484], [0.332, 0.374, 0.954]], "n_ef_per_ev_cell": 3.3, "total_energy_ev_per_atom": -7.07, "relative_energy_ev_per_fu": 1.73, "vol_a3_per_atom": 16.679, "e_form_raw_ev_per_atom": 0.02}

---

No. 2
{"formula": "TiTcBTeRh", "functional": "PBE", "state": "relaxed", "lattice_angstrom": [[-0.798, -0.899, 4.015], [-2.389, -2.045, -0.932], [7.380, -8.430, -0.421]], "species": ["Rh", "Rh", "Ti", "Ti", "Tc", "Tc", "Te", "Te", "B", "B"], "fractional_positions": [[0.000, 0.000, 0.757], [0.000, 0.500, 0.257], [0.500, 0.500, 0.628], [0.500, 0.000, 0.128], [0.500, 0.500, 0.881], [0.500, 0.000, 0.381], [0.000, 0.000, 0.519], [0.000, 0.500, 0.019], [0.500, 0.500, 0.267], [0.500, 0.000, 0.767]], "n_ef_per_ev_cell": 8.6, "total_energy_ev_per_atom": -7.35, "relative_energy_ev_per_fu": 0.35, "vol_a3_per_atom": 15.413, "e_form_raw_ev_per_atom": -0.26}

---

No. 3
{"formula": "TiTcBTeRh", "functional": "PBE", "state": "relaxed", "lattice_angstrom": [[3.121, 0.002, -0.011], [1.563, 4.198, -0.004], [0.054, 0.176, 5.738]], "species": ["Tc", "Te", "Ti", "B", "Rh"], "fractional_positions": [[0.056, 0.510, 0.533], [0.341, 0.947, 0.298], [0.773, 0.071, 0.773], [0.487, 0.643, 0.780], [0.060, 0.493, 0.029]], "n_ef_per_ev_cell": 3.2, "total_energy_ev_per_atom": -7.38, "relative_energy_ev_per_fu": 0.20, "vol_a3_per_atom": 15.034, "e_form_raw_ev_per_atom": -0.29}

---

No. 4
{"formula": "TiTcBTeRh", "functional": "PBE", "state": "relaxed", "lattice_angstrom": [[-3.059, -0.751, -3.683], [2.405, -1.373, -1.717], [-0.421, -4.067, 2.663]], "species": ["Tc", "Te", "B", "Rh", "Ti"], "fractional_positions": [[0.678, 0.500, 0.506], [0.128, 0.000, 0.643], [0.415, 0.000, 0.314], [0.625, 0.000, 0.993], [0.079, 0.500, 0.133]], "n_ef_per_ev_cell": 3.3, "total_energy_ev_per_atom": -7.20, "relative_energy_ev_per_fu": 1.08, "vol_a3_per_atom": 14.995, "e_form_raw_ev_per_atom": -0.11}

---

No. 5
{"formula": "TiTcBTeRh", "functional": "PBE", "state": "relaxed", "lattice_angstrom": [[3.440, 0.001, 0.023], [-0.001, 4.279, -0.008], [-1.564, -2.129, 5.303]], "species": ["B", "Te", "Rh", "Tc", "Ti"], "fractional_positions": [[0.275, 0.998, 0.771], [0.631, 0.331, 0.436], [0.867, 0.104, 0.981], [0.295, 0.532, 0.838], [0.068, 0.753, 0.281]], "n_ef_per_ev_cell": 3.4, "total_energy_ev_per_atom": -7.21, "relative_energy_ev_per_fu": 1.05, "vol_a3_per_atom": 15.626, "e_form_raw_ev_per_atom": -0.12}

---

No. 6
{"formula": "TiTcBTeRh", "functional": "PBE", "state": "relaxed", "lattice_angstrom": [[-0.107, -0.275, 3.475], [-0.940, -4.018, 1.399], [5.464, -1.262, 0.065]], "species": ["B", "Rh", "Te", "Tc", "Ti"], "fractional_positions": [[0.582, 0.776, 0.518], [0.866, 0.206, 0.452], [0.870, 0.198, 0.963], [0.159, 0.622, 0.733], [0.164, 0.611, 0.257]], "n_ef_per_ev_cell": 4.1, "total_energy_ev_per_atom": -7.32, "relative_energy_ev_per_fu": 0.47, "vol_a3_per_atom": 15.628, "e_form_raw_ev_per_atom": -0.24}

---

No. 7
{"formula": "TiTcBTeRh", "functional": "PBE", "state": "relaxed", "lattice_angstrom": [[6.653, 0.000, 0.014], [0.000, 3.293, 0.000], [-1.142, 0.000, 7.841]], "species": ["Ti", "Ti", "Tc", "Tc", "Te", "Te", "Rh", "Rh", "B", "B"], "fractional_positions": [[0.854, 0.000, 0.231], [0.854, 0.500, 0.731], [0.639, 0.000, 0.908], [0.639, 0.500, 0.408], [0.240, 0.500, 0.354], [0.240, 0.000, 0.854], [0.005, 0.500, 0.033], [0.005, 0.000, 0.533], [0.673, 0.500, 0.082], [0.673, 0.000, 0.582]], "n_ef_per_ev_cell": 4.0, "total_energy_ev_per_atom": -7.26, "relative_energy_ev_per_fu": 0.78, "vol_a3_per_atom": 17.180, "e_form_raw_ev_per_atom": -0.17}

---

No. 8
{"formula": "TiTcBTeRh", "functional": "PBE", "state": "relaxed", "lattice_angstrom": [[3.214, -0.009, 0.003], [0.013, 4.681, 0.001], [1.605, 0.386, 4.999]], "species": ["Te", "B", "Rh", "Tc", "Ti"], "fractional_positions": [[0.790, 0.427, 0.659], [0.982, 0.788, 0.275], [0.617, 0.813, 0.005], [0.364, 0.996, 0.510], [0.050, 0.283, 0.140]], "n_ef_per_ev_cell": 3.5, "total_energy_ev_per_atom": -7.29, "relative_energy_ev_per_fu": 0.63, "vol_a3_per_atom": 15.039, "e_form_raw_ev_per_atom": -0.20}